No. 1
A geometry-optimized Au structure. Source: the Open Quantum Materials Database, functional PBE-GGA.

Results
Formation energy from the elements   65 meV/atom
Raw total energy   -64.02 eV per cell
SG   P4_132, No. 213

Cell: 7.1322 7.1322 7.1322 Å, 90.00 90.00 90.00°
Closest atoms and distances in Å follow each position.
Fractional positions:
1 Au 0.5550 0.6250 0.3050  12 Au 2.83-3.14
2 Au 0.9450 0.3750 0.8050  12 Au 2.83-3.14
3 Au 0.6250 0.3050 0.5550  12 Au 2.83-3.14
4 Au 0.1950 0.4450 0.1250  12 Au 2.83-3.14
5 Au 0.8750 0.6950 0.0550  12 Au 2.83-3.14
6 Au 0.3010 0.1990 0.8010  12 Au 2.73-3.04
7 Au 0.4490 0.9490 0.5510  12 Au 2.73-3.04
8 Au 0.4450 0.1250 0.1950  12 Au 2.83-3.14
9 Au 0.0550 0.8750 0.6950  12 Au 2.83-3.14
10 Au 0.3750 0.8050 0.9450  12 Au 2.83-3.14
11 Au 0.1250 0.1950 0.4450  12 Au 2.83-3.14
12 Au 0.0510 0.0510 0.0510  12 Au 2.73-3.04
13 Au 0.8010 0.3010 0.1990  12 Au 2.73-3.04
14 Au 0.6990 0.6990 0.6990  12 Au 2.73-3.04
15 Au 0.5510 0.4490 0.9490  12 Au 2.73-3.04
16 Au 0.1990 0.8010 0.3010  12 Au 2.73-3.04
17 Au 0.6950 0.0550 0.8750  12 Au 2.83-3.14
18 Au 0.8050 0.9450 0.3750  12 Au 2.83-3.14
19 Au 0.9490 0.5510 0.4490  12 Au 2.73-3.04
20 Au 0.3050 0.5550 0.6250  12 Au 2.83-3.14

=====

No. 2
A geometry-optimized TmCuTe3Pb structure. Source: the Open Quantum Materials Database, functional PBE-GGA.

Results
Raw total energy   -51.02 eV per cell
SG   Cmcm, No. 63

Cell: 7.5878 7.5878 11.1398 Å, 90.00 90.00 147.37°
Closest atoms and distances in Å follow each position.
Fractional positions:
1 Te 0.0818 0.9182 0.7500  2 Cu 2.69
2 Tm 0.0000 0.0000 0.5000  6 Te 3.03-3.05
3 Cu 0.4690 0.5310 0.7500  4 Te 2.65-2.69
4 Te 0.9182 0.0818 0.2500  2 Cu 2.69
5 Tm 0.0000 0.0000 0.0000  6 Te 3.03-3.05
6 Cu 0.5310 0.4690 0.2500  4 Te 2.65-2.69
7 Te 0.6424 0.3576 0.4382  1 Cu 2.65
8 Te 0.3576 0.6424 0.9382  1 Cu 2.65
9 Pb 0.2379 0.7620 0.2500  6 Te 3.30-3.38, 2 Cu 3.69
10 Te 0.3576 0.6424 0.5618  1 Cu 2.65
11 Te 0.6424 0.3576 0.0618  1 Cu 2.65
12 Pb 0.7620 0.2379 0.7500  6 Te 3.30-3.38, 2 Cu 3.69

=====

No. 3
A geometry-optimized LaTh structure. Source: the Open Quantum Materials Database, functional PBE-GGA.

Results
Formation energy from the elements   763 meV/atom
Raw total energy   -10.81 eV per cell
SG   Fm-3m, No. 225

Cell: 4.5934 4.5934 4.5934 Å, 60.00 60.00 60.00°
Closest atoms and distances in Å follow each position.
Fractional positions:
1 La 0.0000 0.0000 0.0000  6 Th 3.25
2 Th 0.5000 0.5000 0.5000  6 La 3.25

=====

No. 4
A geometry-optimized Pu2Br5 structure. Source: the Open Quantum Materials Database, functional PBE-GGA.

Results
Raw total energy   -95.24 eV per cell
SG   C2/c, No. 15

Cell: 8.7770 8.7770 7.7378 Å, 96.58 96.58 46.19°
Closest atoms and distances in Å follow each position.
Fractional positions:
1 Br 0.7956 0.0313 0.5712  2 Pu 2.95-2.97
2 Pu 0.3881 0.8384 0.0854  7 Br 2.95-3.17
3 Br 0.3629 0.2007 0.1811  3 Pu 3.00-3.13
4 Pu 0.1616 0.6119 0.4146  7 Br 2.95-3.17
5 Br 0.6371 0.7993 0.8189  3 Pu 3.00-3.13
6 Br 0.7993 0.6371 0.3189  3 Pu 3.00-3.13
7 Br 0.0313 0.7956 0.0712  2 Pu 2.95-2.97
8 Pu 0.8384 0.3881 0.5854  7 Br 2.95-3.17
9 Br 0.2044 0.9687 0.4288  2 Pu 2.95-2.97
10 Br 0.2007 0.3629 0.6811  3 Pu 3.00-3.13
11 Br 0.5710 0.4290 0.2500  4 Pu 3.12-3.17
12 Br 0.4290 0.5710 0.7500  4 Pu 3.12-3.17
13 Br 0.9687 0.2044 0.9288  2 Pu 2.95-2.97
14 Pu 0.6119 0.1616 0.9146  7 Br 2.95-3.17

=====

No. 5
A geometry-optimized Zr2CoSi structure. Source: the Open Quantum Materials Database, functional PBE-GGA.

Results
Raw total energy   -64.41 eV per cell
SG   Pmc2_1, No. 26

Cell: 3.8149 5.3293 6.7982 Å, 90.00 90.00 90.00°
Closest atoms and distances in Å follow each position.
Fractional positions:
1 Zr 0.0000 0.1137 0.1783  4 Co 2.67-2.74, 3 Si 2.80-2.86
2 Zr 0.5000 0.3695 0.8287  3 Co 2.73-2.88, 4 Si 2.73-2.74
3 Co 0.5000 0.1175 0.4533  2 Si 2.44, 3 Zr 2.67-2.73
4 Zr 0.5000 0.6305 0.3287  3 Co 2.73-2.88, 4 Si 2.73-2.74
5 Co 0.5000 0.8825 0.9533  2 Si 2.44, 3 Zr 2.67-2.73
6 Si 0.0000 0.6199 0.0397  2 Co 2.44
7 Si 0.0000 0.3801 0.5397  2 Co 2.44
8 Zr 0.0000 0.8863 0.6783  4 Co 2.67-2.74, 3 Si 2.80-2.86

=====

No. 6
A geometry-optimized PmNpSi structure. Source: the Open Quantum Materials Database, functional PBE-GGA.

Results
Raw total energy   -22.74 eV per cell
SG   F-43m, No. 216

Cell: 4.9008 4.9008 4.9008 Å, 60.00 60.00 60.00°
Closest atoms and distances in Å follow each position.
Fractional positions:
1 Np 0.2500 0.2500 0.2500  4 Si 3.00
2 Si 0.0000 0.0000 0.0000  4 Pm 3.00, 4 Np 3.00
3 Pm 0.7500 0.7500 0.7500  4 Si 3.00

=====

No. 7
A geometry-optimized HfZrSe6 structure. Source: the Open Quantum Materials Database, functional PBE-GGA.

Results
Raw total energy   -47.67 eV per cell
SG   Pm, No. 6

Cell: 5.4464 3.7609 9.7093 Å, 90.00 97.26 90.00°
Closest atoms and distances in Å follow each position.
Fractional positions:
1 Se 0.3913 0.0000 0.6730  1 Se 2.38
2 Hf 0.7847 0.0000 0.1545  8 Se 2.73-2.89
3 Se 0.9553 0.0000 0.6782  1 Se 2.38
4 Se 0.6074 0.5000 0.3245  1 Se 2.39
5 Se 0.0446 0.5000 0.3192  1 Se 2.39
6 Se 0.7382 0.5000 0.9491  2 Hf 2.73, 2 Zr 2.90
7 Se 0.2631 0.0000 0.0555  2 Zr 2.76, 2 Hf 2.88-2.89
8 Zr 0.2154 0.5000 0.8459  8 Se 2.76-2.90

=====

No. 8
A geometry-optimized YSnAuS3 structure. Source: the Open Quantum Materials Database, functional PBE-GGA.

Results
Raw total energy   -128.83 eV per cell
SG   Pnma, No. 62

Cell: 10.2732 4.0652 14.3224 Å, 90.00 90.00 90.00°
Closest atoms and distances in Å follow each position.
Fractional positions:
1 Au 0.7437 0.2500 0.4017  2 S 2.34-2.35
2 Y 0.5152 0.2500 0.7640  6 S 2.72-2.80
3 Sn 0.2293 0.7500 0.9405  3 S 2.72-2.76, 2 Au 3.04
4 S 0.4802 0.7500 0.6317  1 Au 2.35
5 S 0.9712 0.2500 0.3903  1 Au 2.34
6 S 0.7437 0.7500 0.1842  2 Sn 2.72, 2 Y 2.73-2.76
7 Y 0.4848 0.7500 0.2360  6 S 2.72-2.80
8 S 0.2437 0.7500 0.3158  2 Sn 2.72, 2 Y 2.73-2.76
9 S 0.2563 0.2500 0.8158  2 Sn 2.72, 2 Y 2.73-2.76
10 S 0.7563 0.2500 0.6842  2 Sn 2.72, 2 Y 2.73-2.76
11 S 0.0288 0.7500 0.6097  1 Au 2.34
12 Sn 0.7293 0.7500 0.5595  3 S 2.72-2.76, 2 Au 3.04
13 Y 0.9848 0.7500 0.2640  6 S 2.72-2.80
14 S 0.9802 0.7500 0.8683  1 Au 2.35
15 S 0.5198 0.2500 0.3683  1 Au 2.35
16 S 0.4712 0.2500 0.1097  1 Au 2.34
17 Au 0.2437 0.2500 0.0983  2 S 2.34-2.35
18 Au 0.7563 0.7500 0.9017  2 S 2.34-2.35
19 Sn 0.7707 0.2500 0.0595  3 S 2.72-2.76, 2 Au 3.04
20 Y 0.0152 0.2500 0.7360  6 S 2.72-2.80
21 Sn 0.2707 0.2500 0.4405  3 S 2.72-2.76, 2 Au 3.04
22 S 0.0198 0.2500 0.1317  1 Au 2.35
23 S 0.5288 0.7500 0.8903  1 Au 2.34
24 Au 0.2563 0.7500 0.5983  2 S 2.34-2.35